Entry from Alexandria: RbLiCo2Cl8 after structural relaxation (GGA-PBE).

Computed properties:
Spin magnetization (μB per formula unit): 8.00
Density of states at the Fermi level (states/eV/cell): 12.1
SG: No. 148
Raw total energy (eV for the cell shown): -43.53

Unit cell a=10.024 b=10.024 c=10.024 alpha=37.31 beta=37.31 gamma=37.31
Atoms (fractional coordinates):
Rb 0.000 0.000 0.000
Li 0.500 0.500 0.500
Co 0.246 0.246 0.246
Co 0.754 0.754 0.754
Cl 0.106 0.457 0.770
Cl 0.230 0.894 0.543
Cl 0.324 0.324 0.324
Cl 0.457 0.770 0.106
Cl 0.543 0.230 0.894
Cl 0.676 0.676 0.676
Cl 0.770 0.106 0.457
Cl 0.894 0.543 0.230